Record 1
The following is a DFT calculation (PBE) of an optimized crystal structure of HfSc5Sb6.

Geometry as POSCAR:
```
HfSc5Sb6
1.0
-5.207 -0.937 4.868
5.506 -4.614 -0.299
3.338 5.668 2.888
Sc Sb Hf
5 6 1
direct
0.832 0.168 0.500
0.666 0.334 0.000
0.500 0.500 0.500
0.334 0.666 0.000
0.168 0.832 0.500
0.415 0.083 0.249
0.917 0.585 0.751
0.248 0.248 0.750
0.752 0.752 0.250
0.083 0.415 0.249
0.585 0.917 0.751
0.000 0.000 0.000
```

Values from the calculation:
V   25.3 Å³ per atom

=====

Record 2
The following is a DFT calculation (PBE) of an optimized crystal structure of AlCdCl2.

Geometry as POSCAR:
```
AlCdCl2
1.0
-2.804 -0.781 -1.694
1.774 -0.630 -2.646
0.999 -9.638 2.793
Cl Al Cd
2 1 1
direct
0.000 0.258 0.085
0.000 0.242 0.415
0.500 0.250 0.250
0.500 0.750 0.750
```

Values from the calculation:
V   27.6 Å³ per atom

=====

Number 1: total moment 0.000 Bohr magnetons per cell, raw formation energy -10.32 eV/f.u., N(E_F) 0.28 states/eV per atom. Number 2: total moment 0.901 Bohr magnetons per cell, raw formation energy -2.15 eV/f.u., N(E_F) 0.15 states/eV per atom.